A relaxed structure of Sr2LiSbPb, computed with GGA-PBE.

Results
Formation energy without anion corrections   -237.5 meV per atom
D(E_F)   3.1 states/eV/cell
Crystal system   tetragonal
Magnetization   0.00 μB per atom

Unit cell a=5.877 b=4.831 c=5.877 alpha=90.00 beta=90.00 gamma=90.00
Atoms (fractional coordinates):
Pb 0.000 0.500 0.000
Sb 0.500 0.500 0.500
Li 0.000 0.000 0.000
Sr 0.000 0.000 0.500
Sr 0.500 0.000 0.000